[1]
VASP calculation (GGA-PBE) on a relaxed structure of HfTi3Fe2.

- energy of formation (eV per atom) = -0.223
- SG = P4/mmm

Lattice parameters (Å, degrees): 2.999 2.999 10.038 90.00 90.00 90.00
Fractional positions:
Hf (0.000, 0.000, 0.000)
Ti (0.500, 0.500, 0.208)
Ti (0.500, 0.500, 0.500)
Ti (0.500, 0.500, 0.792)
Fe (0.000, 0.000, 0.353)
Fe (0.000, 0.000, 0.647)

***

[2]
VASP calculation (GGA-PBE) on a relaxed structure of Ba6Ge2Pb.

- energy of formation (eV per atom) = -0.444
- SG = Immm

Lattice parameters (Å, degrees): 10.069 10.069 10.069 113.06 108.93 106.49
Fractional positions:
Ba (0.028, 0.228, 0.800)
Ba (0.180, 0.287, 0.467)
Ba (0.180, 0.713, 0.893)
Ba (0.327, 0.022, 0.694)
Ba (0.327, 0.633, 0.306)
Ba (0.429, 0.228, 0.200)
Ba (0.571, 0.772, 0.800)
Ba (0.673, 0.367, 0.694)
Ba (0.673, 0.978, 0.306)
Ba (0.820, 0.287, 0.107)
Ba (0.820, 0.713, 0.533)
Ba (0.972, 0.772, 0.200)
Ge (0.111, 0.611, 0.500)
Ge (0.373, 0.000, 0.373)
Ge (0.627, 0.000, 0.627)
Ge (0.889, 0.389, 0.500)
Pb (0.000, 0.000, 0.000)
Pb (0.500, 0.500, 0.000)

***

[3]
VASP calculation (GGA-PBE) on a relaxed structure of Sm4Si2Ag.

- SG = R-3m
- formation energy from raw total energies (eV per atom) = -0.353

Lattice parameters (Å, degrees): 9.299 9.299 9.299 31.18 31.18 31.18
Fractional positions:
Sm (0.119, 0.119, 0.119)
Sm (0.294, 0.294, 0.294)
Sm (0.706, 0.706, 0.706)
Sm (0.881, 0.881, 0.881)
Si (0.406, 0.406, 0.406)
Si (0.594, 0.594, 0.594)
Ag (0.500, 0.500, 0.500)